No. 1
Below is crystalline Li2VGeN4 at its relaxed geometry, with properties calculated at the GGA-PBE level.

Properties
**Electronic total energy**: -6.73 eV per atom
**E_form (uncorrected)**: -371 meV per atom
**Size of the total moment**: 1.0 μB/f.u.

Cell: 4.7019 4.7019 8.5465 Å, 90.00 90.00 90.00°
Space group I-4 (No. 82)
Symmetry-distinct sites (fractional):
Li 0.0000 0.0000 0.0000 [2 per cell]
Li 0.0000 0.5000 0.2500 [2 per cell]
V 0.0000 0.5000 0.7500 [2 per cell]
Ge 0.0000 0.0000 0.5000 [2 per cell]
N 0.1975 0.7444 0.6271 [8 per cell]

No. 2
Below is crystalline Li2GeWN at its relaxed geometry, with properties calculated at the GGA-PBE level.

Properties
**Electronic total energy**: -6.18 eV per atom
**E_form (uncorrected)**: -232 meV per atom
**Size of the total moment**: 0.0 μB/f.u.

Cell: 3.9157 3.9157 4.0205 Å, 90.00 90.00 90.00°
Space group P4/mmm (No. 123)
Symmetry-distinct sites (fractional):
Li 0.0000 0.5000 0.0000 [2 per cell]
Ge 0.0000 0.0000 0.5000 [1 per cell]
W 0.5000 0.5000 0.5000 [1 per cell]
N 0.5000 0.5000 0.0000 [1 per cell]

No. 3
Below is crystalline Li2GeWN4 at its relaxed geometry, with properties calculated at the GGA-PBE level.

Properties
**Electronic total energy**: -7.33 eV per atom
**E_form (uncorrected)**: -492 meV per atom
**Size of the total moment**: 0.0 μB/f.u.

Cell: 6.3736 5.8303 5.2195 Å, 90.00 90.00 90.00°
Space group Pmn2_1 (No. 31)
Symmetry-distinct sites (fractional):
Li 0.2491 0.1665 0.0000 [4 per cell]
Ge 0.0000 0.6714 0.0074 [2 per cell]
W 0.0000 0.3402 0.5076 [2 per cell]
N 0.0000 0.3761 0.8614 [2 per cell]
N 0.0000 0.6325 0.3653 [2 per cell]
N 0.2494 0.8166 0.9107 [4 per cell]